Record 1
Computed, not measured: Ag2PbS2 after structural relaxation at the PBEsol level of DFT.

## Properties
* uncorrected energy: -4.022 eV/atom
* formation energy without anion corrections: -0.14 eV/atom
* symmetry: No. 139

Structure (POSCAR):
```
Ag2PbS2
1.0
3.858 0.000 0.000
0.000 3.858 0.000
-1.929 -1.929 6.774
S Pb Ag
2 1 2
direct
0.616 0.616 0.232 S
0.384 0.384 0.768 S
0.000 0.000 0.000 Pb
0.250 0.750 0.500 Ag
0.750 0.250 0.500 Ag
```


Record 2
Computed, not measured: Zn2Ag3 after structural relaxation at the PBEsol level of DFT.

## Properties
* uncorrected energy: -2.656 eV/atom
* formation energy from the elements: -3.48 kJ per mole of atoms
* symmetry: No. 166
* E above lowest polymorph: 0.021 eV per atom

Structure (POSCAR):
```
Zn2Ag3
1.0
-2.040 -1.982 -0.134
-0.972 -1.206 2.389
-8.726 6.829 1.592
Ag Zn
3 2
direct
0.000 0.000 0.000 Ag
0.202 0.202 0.393 Ag
0.798 0.798 0.607 Ag
0.399 0.399 0.803 Zn
0.601 0.601 0.197 Zn
```


Record 3
Computed, not measured: KBe2Rh after structural relaxation at the PBEsol level of DFT.

## Properties
* uncorrected energy: -3.663 eV/atom
* formation energy from the elements: 63.23 kJ per mole of atoms
* symmetry: No. 44

Structure (POSCAR):
```
KBe2Rh
1.0
2.691 0.000 0.000
0.000 4.834 0.000
-1.345 -2.417 4.712
Rh K Be
1 1 2
direct
0.299 0.799 0.597 Rh
0.511 0.511 0.022 K
0.710 0.210 0.420 Be
0.980 0.980 0.960 Be
```


Record 4
Computed, not measured: Y2Zr after structural relaxation at the PBEsol level of DFT.

## Properties
* uncorrected energy: -7.432 eV/atom
* formation energy from the elements: 14.11 kJ per mole of atoms
* symmetry: No. 194
* E above lowest polymorph: 0.062 eV per atom

Structure (POSCAR):
```
Y2Zr
1.0
5.269 0.000 0.000
-2.634 4.563 0.000
0.000 0.000 6.783
Zr Y
2 4
direct
0.667 0.333 0.250 Zr
0.333 0.667 0.750 Zr
0.000 0.000 0.000 Y
0.667 0.333 0.750 Y
0.000 0.000 0.500 Y
0.333 0.667 0.250 Y
```


Record 5
Computed, not measured: PrAl2Ni after structural relaxation at the PBEsol level of DFT.

## Properties
* uncorrected energy: -5.456 eV/atom
* formation energy from the elements: -55.43 kJ per mole of atoms
* symmetry: No. 63

Structure (POSCAR):
```
PrAl2Ni
1.0
-0.261 -3.609 1.795
1.274 -0.630 -5.625
6.686 0.255 1.485
Ni Pr Al
2 2 4
direct
0.218 0.437 0.750 Ni
0.782 0.563 0.250 Ni
0.054 0.107 0.250 Pr
0.946 0.893 0.750 Pr
0.330 0.661 0.057 Al
0.670 0.339 0.943 Al
0.670 0.339 0.557 Al
0.330 0.661 0.443 Al
```


Record 6
Computed, not measured: FeSi2HgPd after structural relaxation at the PBEsol level of DFT.

## Properties
* uncorrected energy: -3.842 eV/atom
* formation energy without anion corrections: 1.55 eV/atom
* symmetry: No. 123

Structure (POSCAR):
```
FeSi2HgPd
1.0
-1.520 -4.267 -1.494
4.063 -1.980 1.524
-1.995 -0.792 4.291
Fe Si Hg Pd
1 2 1 1
direct
0.000 0.000 0.500 Fe
0.000 0.500 0.000 Si
0.500 0.000 0.000 Si
0.000 0.000 0.000 Hg
0.500 0.500 0.500 Pd
```


Record 7
Computed, not measured: HgSb4 after structural relaxation at the PBEsol level of DFT.

## Properties
* uncorrected energy: -3.412 eV/atom
* formation energy without anion corrections: 0.35 eV/atom
* symmetry: No. 229

Structure (POSCAR):
```
HgSb4
1.0
-2.795 4.464 2.507
2.309 -3.413 4.128
4.249 2.047 -3.432
Sb Hg
4 1
direct
0.000 0.000 0.500 Sb
0.000 0.500 0.000 Sb
0.500 0.000 0.000 Sb
0.500 0.500 0.500 Sb
0.000 0.000 0.000 Hg
```


Record 8
Computed, not measured: Ta2ReW after structural relaxation at the PBEsol level of DFT.

## Properties
* uncorrected energy: -13.299 eV/atom
* formation energy from the elements: -23.07 kJ per mole of atoms
* symmetry: No. 44

Structure (POSCAR):
```
Ta2ReW
1.0
-1.381 1.596 -2.378
-1.945 -3.787 -1.412
-1.927 1.948 4.553
Ta W Re
2 1 1
direct
0.247 0.747 0.494 Ta
0.005 0.005 0.009 Ta
0.496 0.496 0.991 W
0.753 0.253 0.505 Re
```


Q: The highest uncorrected energy belongs to which entry?
A: Zn2Ag3


Q: Which of these has the lowest uncorrected energy?
A: Ta2ReW


Q: What is the uncorrected energy in the sixth record?
A: -3.842 eV/atom